[1]
The following is a PBE calculation of a relaxed MgGe2H crystal, from Alexandria.

Output
- D(E_F): 2.9 states/eV/cell
- Total moment: 0.00 μB/cell
- Space group: Fm-3m, No. 225
- Energy above the lowest structure with this stoichiometry: 157 meV/atom
- Uncorrected energy: -3.03 eV per atom

Lattice parameters (Å, degrees): 4.514 4.514 4.514 60.00 60.00 60.00
Element x y z (fractional)
1 Mg 0.000 0.000 0.000
2 Ge 0.250 0.250 0.250
3 Ge 0.750 0.750 0.750
4 H 0.500 0.500 0.500


[2]
The following is a PBE calculation of a relaxed CePuIn2Se4 crystal, from Alexandria.

Output
- D(E_F): 16.4 states/eV/cell
- Total moment: 6.00 μB/cell
- Space group: P2/m, No. 10
- ΔE_f (raw): -1133 meV per atom
- Uncorrected energy: -6.09 eV per atom

Lattice parameters (Å, degrees): 7.370 4.257 8.079 90.00 107.74 90.00
Element x y z (fractional)
1 Ce 0.000 0.000 0.000
2 Pu 0.500 0.500 0.000
3 In 0.000 0.500 0.500
4 In 0.500 0.000 0.500
5 Se 0.238 0.500 0.211
6 Se 0.265 0.000 0.792
7 Se 0.735 0.000 0.208
8 Se 0.762 0.500 0.789


[3]
The following is a PBE calculation of a relaxed Li3Cd3Au2 crystal, from Alexandria.

Output
- E_form: -0.3208 eV per atom
- D(E_F): 4.6 states/eV/cell
- Total moment: 0.00 μB/cell
- Space group: Cmcm, No. 63
- Energy above the lowest structure with this stoichiometry: 7 meV/atom
- Uncorrected energy: -2.20 eV per atom

Lattice parameters (Å, degrees): 5.148 5.148 14.521 90.00 90.00 130.75
Element x y z (fractional)
1 Li 0.049 0.951 0.596
2 Li 0.049 0.951 0.904
3 Li 0.195 0.805 0.750
4 Li 0.805 0.195 0.250
5 Li 0.951 0.049 0.096
6 Li 0.951 0.049 0.404
7 Cd 0.356 0.644 0.537
8 Cd 0.356 0.644 0.963
9 Cd 0.478 0.522 0.750
10 Cd 0.522 0.478 0.250
11 Cd 0.644 0.356 0.037
12 Cd 0.644 0.356 0.463
13 Au 0.239 0.761 0.152
14 Au 0.239 0.761 0.348
15 Au 0.761 0.239 0.652
16 Au 0.761 0.239 0.848


[4]
The following is a PBE calculation of a relaxed CdSiOs3 crystal, from Alexandria.

Output
- D(E_F): 4.8 states/eV/cell
- Total moment: 1.61 μB/cell
- Space group: Pm-3m, No. 221
- Energy above the lowest structure with this stoichiometry: 0 meV/atom
- ΔE_f (raw): 1092 meV per atom
- Uncorrected energy: -6.91 eV per atom

Lattice parameters (Å, degrees): 4.437 4.437 4.437 90.00 90.00 90.00
Element x y z (fractional)
1 Cd 0.000 0.000 0.000
2 Si 0.500 0.500 0.500
3 Os 0.000 0.500 0.500
4 Os 0.500 0.000 0.500
5 Os 0.500 0.500 0.000


[5]
The following is a PBE calculation of a relaxed HfPdCl2 crystal, from Alexandria.

Output
- D(E_F): 1.7 states/eV/cell
- Total moment: 0.00 μB/cell
- Space group: R-3m, No. 166
- Energy above the lowest structure with this stoichiometry: 0 meV/atom
- ΔE_f (raw): -690 meV per atom
- Uncorrected energy: -5.40 eV per atom

Lattice parameters (Å, degrees): 8.727 8.727 8.727 21.20 21.20 21.20
Element x y z (fractional)
1 Hf 0.000 0.000 0.000
2 Pd 0.500 0.500 0.500
3 Cl 0.405 0.405 0.405
4 Cl 0.595 0.595 0.595


[6]
The following is a PBE calculation of a relaxed Tb2Dy3Tm6Mg crystal, from Alexandria.

Output
- E_form: 0.0314 eV per atom
- D(E_F): 17.6 states/eV/cell
- Total moment: 0.00 μB/cell
- Space group: C2/m, No. 12
- Uncorrected energy: -4.26 eV per atom

Lattice parameters (Å, degrees): 6.051 6.051 11.589 95.03 95.03 120.02
Element x y z (fractional)
1 Tb 0.166 0.834 0.000
2 Tb 0.834 0.166 0.000
3 Dy 0.000 0.000 0.500
4 Dy 0.334 0.666 0.500
5 Dy 0.666 0.334 0.500
6 Tm 0.085 0.418 0.751
7 Tm 0.249 0.249 0.250
8 Tm 0.418 0.085 0.751
9 Tm 0.582 0.915 0.249
10 Tm 0.751 0.751 0.750
11 Tm 0.915 0.582 0.249
12 Mg 0.500 0.500 0.000